Entry 1:
Below is Gd2SnN after structural relaxation, with properties calculated at the PBE level.

Properties
* size of the total moment: 14.79 μB per formula unit
* formation energy without anion corrections: -660 meV/atom
* final energy: -10.78 eV/atom

Cell: 3.1747 3.1747 7.8788 Å, 90.00 90.00 90.00°
Last column: nearest neighbours and their distance in Å.
Space group P4/mmm (No. 123)
One atom of each set of equivalent atoms:
Gd: 0.0000 0.0000 0.1852 x2  4 N 2.68, 1 Gd 2.92
Sn: 0.5000 0.5000 0.5000 x1  4 Sn 3.17, 8 Gd 3.35
N: 0.5000 0.5000 0.0000 x1  8 Gd 2.68

=====

Entry 2:
Below is Gd2SnN after structural relaxation, with properties calculated at the PBE level.

Properties
* size of the total moment: 14.16 μB per formula unit
* formation energy without anion corrections: -1106 meV/atom
* final energy: -11.23 eV/atom

Cell: 3.5829 3.5829 23.4695 Å, 90.00 90.00 120.00°
Last column: nearest neighbours and their distance in Å.
Space group R-3m (No. 166, hexagonal axes)
One atom of each set of equivalent atoms:
Gd: 0.0000 0.0000 0.2240 x6  3 N 2.47
Sn: 0.0000 0.0000 0.0000 x3  6 Gd 3.30, 6 Sn 3.58
N: 0.0000 0.0000 0.5000 x3  6 Gd 2.47

=====

Entry 3:
Below is SrGdN after structural relaxation, with properties calculated at the PBE level.

Properties
* size of the total moment: 7.40 μB per formula unit
* formation energy without anion corrections: -783 meV/atom
* final energy: -8.81 eV/atom

Cell: 3.6938 3.6938 6.4523 Å, 90.00 90.00 120.00°
Last column: nearest neighbours and their distance in Å.
Space group P3m1 (No. 156)
One atom of each set of equivalent atoms:
Sr: 0.0000 0.0000 0.0000 x1  3 N 2.80
Gd: 0.3333 0.6667 0.5600 x1  3 N 2.36
N: 0.6667 0.3333 0.7178 x1  3 Gd 2.36

=====

Entry 4:
Below is Tb2GdN after structural relaxation, with properties calculated at the PBE level.

Properties
* size of the total moment: 7.70 μB per formula unit
* formation energy without anion corrections: -193 meV/atom
* final energy: -8.11 eV/atom

Cell: 3.1796 3.1796 8.9137 Å, 90.00 90.00 90.00°
Last column: nearest neighbours and their distance in Å.
Space group P4/mmm (No. 123)
One atom of each set of equivalent atoms:
Tb: 0.0000 0.0000 0.1588 x2  4 N 2.66, 1 Tb 2.83
Gd: 0.5000 0.5000 0.5000 x1  4 Gd 3.18
N: 0.5000 0.5000 0.0000 x1  8 Tb 2.66

=====

Entry 5:
Below is TbGd2N after structural relaxation, with properties calculated at the PBE level.

Properties
* size of the total moment: 15.30 μB per formula unit
* formation energy without anion corrections: -643 meV/atom
* final energy: -10.92 eV/atom

Cell: 3.4999 3.4999 28.6199 Å, 90.00 90.00 120.00°
Last column: nearest neighbours and their distance in Å.
Space group R-3m (No. 166, hexagonal axes)
One atom of each set of equivalent atoms:
Tb: 0.0000 0.0000 0.0000 x3  2 Gd 3.42, 6 Tb 3.50
Gd: 0.0000 0.0000 0.1194 x6  3 N 2.43
N: 0.0000 0.0000 0.5000 x3  6 Gd 2.43

=====

Entry 6:
Below is TbGdN after structural relaxation, with properties calculated at the PBE level.

Properties
* size of the total moment: 8.11 μB per formula unit
* formation energy without anion corrections: -1014 meV/atom
* final energy: -10.03 eV/atom

Cell: 3.5350 3.5350 6.0291 Å, 90.00 90.00 120.00°
Last column: nearest neighbours and their distance in Å.
Space group P3m1 (No. 156)
One atom of each set of equivalent atoms:
Tb: 0.0000 0.0000 0.0000 x1  3 N 2.43
Gd: 0.3333 0.6667 0.5522 x1  3 N 2.47
N: 0.6667 0.3333 0.7817 x1  3 Tb 2.43, 3 Gd 2.47

=====

Entry 7:
Below is Tb2GdN after structural relaxation, with properties calculated at the PBE level.

Properties
* size of the total moment: 7.64 μB per formula unit
* formation energy without anion corrections: -673 meV/atom
* final energy: -8.59 eV/atom

Cell: 3.4725 3.4725 28.4458 Å, 90.00 90.00 120.00°
Last column: nearest neighbours and their distance in Å.
Space group R-3m (No. 166, hexagonal axes)
One atom of each set of equivalent atoms:
Tb: 0.0000 0.0000 0.1196 x6  3 N 2.41
Gd: 0.0000 0.0000 0.0000 x3  2 Tb 3.40, 6 Gd 3.47
N: 0.0000 0.0000 0.5000 x3  6 Tb 2.41

=====

Entry 8:
Below is Tb4Gd2N after structural relaxation, with properties calculated at the PBE level.

Properties
* size of the total moment: 15.14 μB per formula unit
* formation energy without anion corrections: -263 meV/atom
* final energy: -8.12 eV/atom

Cell: 4.8195 4.8195 17.6158 Å, 90.00 90.00 90.00°
Last column: nearest neighbours and their distance in Å.
Space group I4/mmm (No. 139)
One atom of each set of equivalent atoms:
Tb: 0.0000 0.0000 0.1329 x4  1 N 2.34
Tb: 0.0000 0.5000 0.0000 x4  2 N 2.41
Gd: 0.0000 0.0000 0.3303 x4  9 Tb 3.47-3.84
N: 0.0000 0.0000 0.0000 x2  6 Tb 2.34-2.41

=====

Entry 9:
Below is TbGdN after structural relaxation, with properties calculated at the PBE level.

Properties
* size of the total moment: 7.49 μB per formula unit
* formation energy without anion corrections: -420 meV/atom
* final energy: -9.43 eV/atom

Cell: 3.1336 3.1336 12.1496 Å, 90.00 90.00 90.00°
Last column: nearest neighbours and their distance in Å.
Space group I4mm (No. 107)
One atom of each set of equivalent atoms:
Tb: 0.0000 0.0000 0.0000 x2  4 N 2.51
Gd: 0.0000 0.0000 0.7645 x2  4 N 2.78, 1 Tb 2.86
N: 0.0000 0.0000 0.4033 x2  4 Tb 2.51, 4 Gd 2.78

=====

Entry 10:
Below is TbGdN after structural relaxation, with properties calculated at the PBE level.

Properties
* size of the total moment: 7.15 μB per formula unit
* formation energy without anion corrections: -353 meV/atom
* final energy: -9.37 eV/atom

Cell: 6.0518 6.0518 6.0518 Å, 90.00 90.00 90.00°
Last column: nearest neighbours and their distance in Å.
Space group F-43m (No. 216)
One atom of each set of equivalent atoms:
Tb: 0.0000 0.0000 0.0000 x4  4 N 2.62
Gd: 0.0000 0.0000 0.5000 x4  4 N 2.62
N: 0.2500 0.2500 0.7500 x4  4 Gd 2.62, 4 Tb 2.62

=====

Entry 11:
Below is GdTcN2 after structural relaxation, with properties calculated at the PBE level.

Properties
* size of the total moment: 8.45 μB per formula unit
* formation energy without anion corrections: -649 meV/atom
* final energy: -10.92 eV/atom

Cell: 3.3246 3.3246 15.3318 Å, 90.00 90.00 120.00°
Last column: nearest neighbours and their distance in Å.
Space group R-3m (No. 166, hexagonal axes)
One atom of each set of equivalent atoms:
Gd: 0.0000 0.0000 0.0000 x3  6 N 2.42
Tc: 0.0000 0.0000 0.5000 x3  6 N 2.21
N: 0.0000 0.0000 0.2375 x6  3 Tc 2.21, 3 Gd 2.42

=====

Entry 12:
Below is Gd2TcN after structural relaxation, with properties calculated at the PBE level.

Properties
* size of the total moment: 13.56 μB per formula unit
* formation energy without anion corrections: -147 meV/atom
* final energy: -11.86 eV/atom

Cell: 3.3505 3.3505 24.6183 Å, 90.00 90.00 120.00°
Last column: nearest neighbours and their distance in Å.
Space group R-3m (No. 166, hexagonal axes)
One atom of each set of equivalent atoms:
Gd: 0.0000 0.0000 0.1088 x6  3 N 2.40, 1 Tc 2.68
Tc: 0.0000 0.0000 0.0000 x3  2 Gd 2.68
N: 0.0000 0.0000 0.5000 x3  6 Gd 2.40